## VBTe (PBE)

Data for a geometry-optimized VBTe structure.

Computed properties:
- Energy relative to the elements, uncorrected: -0.2804 eV per atom
- Crystal system: orthorhombic
- Spin magnetization: 0.00 μB/f.u.

Lattice parameters (Å, degrees): 3.2534 18.3949 3.1498 90.00 90.00 90.00
Closest atoms and distances in Å follow each position.
Space group Cmcm (No. 63)
One atom of each set of equivalent atoms:
V1 0.0000 0.0633 0.2500 x4  6 B 2.23-2.40
B1 0.0000 0.4805 0.2500 x4  2 B 1.73
Te1 0.0000 0.3456 0.2500 x4  1 B 2.48